Record 1
Ti4ZnIn after structural relaxation. Source: Alexandria, functional GGA-PBE.

Lattice parameters (Å, degrees): 9.177 4.809 5.797 90.00 123.57 90.00
Space group C2/m (No. 12)
Asymmetric unit:
Ti 0.151 0.000 0.489 [4 per cell]
Ti 0.179 0.000 0.024 [4 per cell]
Zn 0.000 0.500 0.500 [2 per cell]
In 0.000 0.500 0.000 [2 per cell]

- polymorph energy (0 for the lowest one) (meV per atom) = 7
- theoretical density (g cm⁻³) = 5.79

Record 2
NbCuO2 after structural relaxation. Source: Alexandria, functional GGA-PBE.

Lattice parameters (Å, degrees): 4.903 4.903 8.850 90.00 90.00 90.00
Space group I-42d (No. 122)
Asymmetric unit:
Nb 0.000 0.000 0.000 [4 per cell]
Cu 0.000 0.000 0.500 [4 per cell]
O 0.243 0.250 0.125 [8 per cell]

- theoretical density (g cm⁻³) = 5.88
- raw formation energy (meV/atom) = -1046.7

Record 3
Ag2Hg3F8 after structural relaxation. Source: Alexandria, functional GGA-PBE.

Lattice parameters (Å, degrees): 10.966 7.202 6.268 90.00 101.09 90.00
Space group C2/m (No. 12)
Asymmetric unit:
Ag 0.196 0.000 0.054 [4 per cell]
Hg 0.000 0.246 0.500 [4 per cell]
Hg 0.000 0.500 0.000 [2 per cell]
F 0.092 0.000 0.355 [4 per cell]
F 0.101 0.500 0.367 [4 per cell]
F 0.122 0.279 0.859 [8 per cell]

- theoretical density (g cm⁻³) = 6.63
- raw formation energy (meV/atom) = -1259.8

Record 4
SiAgMo2 after structural relaxation. Source: Alexandria, functional GGA-PBE.

Lattice parameters (Å, degrees): 2.8090 2.8090 27.5479 90.00 90.00 120.00
Space group R-3m (No. 166, hexagonal axes)
Asymmetric unit:
Si 0.0000 0.0000 0.0000 [3 per cell]
Ag 0.0000 0.0000 0.5000 [3 per cell]
Mo 0.0000 0.0000 0.2565 [6 per cell]

- theoretical density (g cm⁻³) = 8.68
- raw formation energy (meV/atom) = 281.9

Record 5
LaHoNi after structural relaxation. Source: Alexandria, functional GGA-PBE.

Lattice parameters (Å, degrees): 16.8186 16.8186 5.8402 90.00 90.00 120.00
Space group R-3 (No. 148, hexagonal axes)
Asymmetric unit:
La 0.0008 0.8635 0.2500 [18 per cell]
Ho 0.9996 0.4339 0.7489 [18 per cell]
Ni 0.0003 0.4060 0.2495 [18 per cell]

- polymorph energy (0 for the lowest one) (meV per atom) = 57
- theoretical density (g cm⁻³) = 7.57

Record 6
La2TlBi2 after structural relaxation. Source: Alexandria, functional GGA-PBE.

Lattice parameters (Å, degrees): 8.872 8.872 4.326 90.00 90.00 90.00
Space group P4/mbm (No. 127)
Asymmetric unit:
La 0.143 0.357 0.000 [4 per cell]
Tl 0.000 0.000 0.000 [2 per cell]
Bi 0.162 0.662 0.500 [4 per cell]

- polymorph energy (0 for the lowest one) (meV per atom) = 58
- theoretical density (g cm⁻³) = 8.78

Record 7
SiAgOsPd2 after structural relaxation. Source: Alexandria, functional GGA-PBE.

Lattice parameters (Å, degrees): 4.838 4.838 4.854 90.00 90.00 90.00
Space group P4/mmm (No. 123)
Asymmetric unit:
Si 0.000 0.000 0.000 [1 per cell]
Ag 0.500 0.500 0.500 [1 per cell]
Os 0.500 0.500 0.000 [1 per cell]
Pd 0.000 0.500 0.500 [2 per cell]

- theoretical density (g cm⁻³) = 7.88
- raw formation energy (meV/atom) = 1949.2

Record 8
K2YSi after structural relaxation. Source: Alexandria, functional GGA-PBE.

Lattice parameters (Å, degrees): 4.476 4.476 6.165 90.00 90.00 90.00
Space group P4/mmm (No. 123)
Asymmetric unit:
K 0.000 0.500 0.000 [2 per cell]
Y 0.000 0.000 0.500 [1 per cell]
Si 0.500 0.500 0.500 [1 per cell]

- theoretical density (g cm⁻³) = 2.62
- raw formation energy (meV/atom) = 256.8

Record 9
Rb2TlGaSb2 after structural relaxation. Source: Alexandria, functional GGA-PBE.

Lattice parameters (Å, degrees): 7.604 16.114 7.408 90.00 90.00 90.00
Space group Ibam (No. 72)
Asymmetric unit:
Rb 0.243 0.167 0.000 [8 per cell]
Tl 0.000 0.000 0.250 [4 per cell]
Ga 0.000 0.500 0.250 [4 per cell]
Sb 0.210 0.408 0.000 [8 per cell]

- theoretical density (g cm⁻³) = 5.04
- raw formation energy (meV/atom) = -318.9

Record 10
CoSe2Cl after structural relaxation. Source: Alexandria, functional GGA-PBE.

Lattice parameters (Å, degrees): 3.188 3.188 8.653 90.00 90.00 90.00
Space group P4mm (No. 99)
Asymmetric unit:
Co 0.000 0.000 0.000 [1 per cell]
Se 0.000 0.000 0.261 [1 per cell]
Se 0.500 0.500 0.902 [1 per cell]
Cl 0.500 0.500 0.637 [1 per cell]

- polymorph energy (0 for the lowest one) (meV per atom) = 391
- theoretical density (g cm⁻³) = 4.77
- raw formation energy (meV/atom) = 139.9

Record 11
Th2BeIr after structural relaxation. Source: Alexandria, functional GGA-PBE.

Lattice parameters (Å, degrees): 4.1321 4.1321 27.1029 90.00 90.00 120.00
Space group R-3m (No. 166, hexagonal axes)
Asymmetric unit:
Th 0.0000 0.0000 0.1098 [6 per cell]
Be 0.0000 0.0000 0.0000 [3 per cell]
Ir 0.0000 0.0000 0.5000 [3 per cell]

- theoretical density (g cm⁻³) = 8.27
- E (eV per atom) = -6.4917

Record 12
ScReHg after structural relaxation. Source: Alexandria, functional GGA-PBE.

Lattice parameters (Å, degrees): 6.442 6.442 6.442 90.00 90.00 90.00
Space group F-43m (No. 216)
Asymmetric unit:
Sc 0.000 0.000 0.000 [4 per cell]
Re 0.250 0.250 0.250 [4 per cell]
Hg 0.250 0.250 0.750 [4 per cell]

- polymorph energy (0 for the lowest one) (meV per atom) = 825
- theoretical density (g cm⁻³) = 10.73

Record 13
Ni2HIrAu after structural relaxation. Source: Alexandria, functional GGA-PBE.

Lattice parameters (Å, degrees): 3.918 3.918 3.724 90.00 90.00 90.00
Space group P4/mmm (No. 123)
Asymmetric unit:
Ni 0.000 0.500 0.000 [2 per cell]
H 0.000 0.000 0.000 [1 per cell]
Ir 0.000 0.000 0.500 [1 per cell]
Au 0.500 0.500 0.500 [1 per cell]

- theoretical density (g cm⁻³) = 14.74
- E (eV per atom) = -5.2570

Record 14
Nd6TeIr2S3 after structural relaxation. Source: Alexandria, functional GGA-PBE.

Lattice parameters (Å, degrees): 18.429 4.116 8.654 90.00 105.00 90.00
Space group C2/m (No. 12)
Asymmetric unit:
Nd 0.008 0.000 0.277 [4 per cell]
Nd 0.171 0.500 0.582 [4 per cell]
Nd 0.177 0.500 0.109 [4 per cell]
Te 0.000 0.500 0.000 [2 per cell]
Ir 0.169 0.000 0.338 [4 per cell]
S 0.000 0.500 0.500 [2 per cell]
S 0.160 0.000 0.840 [4 per cell]

- theoretical density (g cm⁻³) = 7.72
- raw formation energy (meV/atom) = -1404.5

Record 15
LiMn3Nb after structural relaxation. Source: Alexandria, functional GGA-PBE.

Lattice parameters (Å, degrees): 4.083 4.083 4.083 90.00 90.00 90.00
Space group Pm-3m (No. 221)
Asymmetric unit:
Li 0.000 0.000 0.000 [1 per cell]
Mn 0.000 0.000 0.500 [3 per cell]
Nb 0.500 0.500 0.500 [1 per cell]

- polymorph energy (0 for the lowest one) (meV per atom) = 0
- theoretical density (g cm⁻³) = 6.45

Record 16
CrAsPt2 after structural relaxation. Source: Alexandria, functional GGA-PBE.

Lattice parameters (Å, degrees): 5.434 6.799 3.423 90.00 90.00 90.00
Space group Cmmm (No. 65)
Asymmetric unit:
Cr 0.000 0.000 0.000 [2 per cell]
As 0.000 0.500 0.000 [2 per cell]
Pt 0.250 0.250 0.500 [4 per cell]

- theoretical density (g cm⁻³) = 13.58
- E (eV per atom) = -6.6952

Record 17
SrCaY2Co after structural relaxation. Source: Alexandria, functional GGA-PBE.

Lattice parameters (Å, degrees): 5.315 5.315 5.770 90.00 90.00 90.00
Space group P4/mmm (No. 123)
Asymmetric unit:
Sr 0.000 0.000 0.000 [1 per cell]
Ca 0.500 0.500 0.000 [1 per cell]
Y 0.000 0.500 0.500 [2 per cell]
Co 0.500 0.500 0.500 [1 per cell]

- polymorph energy (0 for the lowest one) (meV per atom) = 0
- theoretical density (g cm⁻³) = 3.71

Record 18
ErZnPdRh after structural relaxation. Source: Alexandria, functional GGA-PBE.

Lattice parameters (Å, degrees): 3.643 4.231 4.367 90.00 90.00 90.00
Space group Pmmm (No. 47)
Asymmetric unit:
Er 0.000 0.000 0.000 [1 per cell]
Zn 0.000 0.500 0.500 [1 per cell]
Pd 0.500 0.000 0.500 [1 per cell]
Rh 0.500 0.500 0.000 [1 per cell]

- polymorph energy (0 for the lowest one) (meV per atom) = 0
- theoretical density (g cm⁻³) = 10.90

Record 19
Mg2CdAu4 after structural relaxation. Source: Alexandria, functional GGA-PBE.

Lattice parameters (Å, degrees): 7.815 4.859 7.608 90.00 116.02 90.00
Space group C2/m (No. 12)
Asymmetric unit:
Mg 0.065 0.000 0.225 [4 per cell]
Cd 0.000 0.500 0.500 [2 per cell]
Au 0.148 0.500 0.926 [4 per cell]
Au 0.221 0.000 0.648 [4 per cell]

- theoretical density (g cm⁻³) = 12.14
- E (eV per atom) = -2.8532

Record 20
CoAs4Os after structural relaxation. Source: Alexandria, functional GGA-PBE.

Lattice parameters (Å, degrees): 6.087 6.134 6.184 90.00 119.49 90.00
Space group P2_1/c (No. 14)
Asymmetric unit:
Co 0.000 0.000 0.000 [2 per cell]
As 0.082 0.137 0.678 [4 per cell]
As 0.406 0.633 0.823 [4 per cell]
Os 0.500 0.000 0.000 [2 per cell]

- polymorph energy (0 for the lowest one) (meV per atom) = 0
- theoretical density (g cm⁻³) = 9.07

Record 21
Zn2In2P5 after structural relaxation. Source: Alexandria, functional GGA-PBE.

Lattice parameters (Å, degrees): 4.082 7.071 28.982 90.00 90.00 90.00
Space group Cmc2_1 (No. 36)
Asymmetric unit:
Zn 0.000 0.167 0.000 [4 per cell]
Zn 0.000 0.167 0.218 [4 per cell]
In 0.000 0.167 0.612 [4 per cell]
In 0.000 0.500 0.332 [4 per cell]
P 0.000 0.166 0.304 [4 per cell]
P 0.000 0.166 0.920 [4 per cell]
P 0.000 0.167 0.078 [4 per cell]
P 0.000 0.167 0.442 [4 per cell]
P 0.000 0.167 0.699 [4 per cell]

- theoretical density (g cm⁻³) = 4.09
- E (eV per atom) = -3.8276

Record 22
YCuTc2 after structural relaxation. Source: Alexandria, functional GGA-PBE.

Lattice parameters (Å, degrees): 3.466 4.422 8.633 90.00 90.00 90.00
Space group Cmmm (No. 65)
Asymmetric unit:
Y 0.000 0.000 0.000 [2 per cell]
Cu 0.000 0.000 0.500 [2 per cell]
Tc 0.000 0.500 0.281 [4 per cell]

- polymorph energy (0 for the lowest one) (meV per atom) = 476
- theoretical density (g cm⁻³) = 8.75

Record 23
TcSbPt2 after structural relaxation. Source: Alexandria, functional GGA-PBE.

Lattice parameters (Å, degrees): 4.122 4.298 7.543 90.00 90.00 90.00
Space group Imm2 (No. 44)
Asymmetric unit:
Tc 0.000 0.000 0.000 [2 per cell]
Sb 0.000 0.500 0.262 [2 per cell]
Pt 0.000 0.000 0.523 [2 per cell]
Pt 0.000 0.500 0.765 [2 per cell]

- theoretical density (g cm⁻³) = 15.16
- raw formation energy (meV/atom) = 40.9

Record 24
Np2As4Pd3 after structural relaxation. Source: Alexandria, functional GGA-PBE.

Lattice parameters (Å, degrees): 5.913 14.560 7.805 90.00 90.00 90.00
Space group Cmce (No. 64)
Asymmetric unit:
Np 0.000 0.111 0.071 [8 per cell]
As 0.000 0.181 0.454 [8 per cell]
As 0.250 0.045 0.750 [8 per cell]
Pd 0.000 0.000 0.500 [4 per cell]
Pd 0.250 0.221 0.750 [8 per cell]

- theoretical density (g cm⁻³) = 10.80
- E (eV per atom) = -7.1887

Results for DOS(E_F): 1.31; 0.15; 0.17; 1.12; 1.13; 0.98; 1.10; 0.29; 0.39; 1.03; 1.38; 2.23; 1.21; 0.41; 1.23; 0.45; 0.68; 0.24; 0.29; 0.31; 0.21; 1.32; 1.39; 2.22 (in states/eV per atom, following the order of the records).